Run a
{"formula": "ReTc3", "functional": "PBE", "state": "optimized geometry", "lattice_angstrom": [[3.7459, -3.7436, 0.0000], [3.7459, 3.7436, 0.0000], [0.0000, 0.0000, 4.4874]], "species": ["Re", "Re", "Tc", "Tc", "Tc", "Tc", "Tc", "Tc"], "frac_coords": [[0.0807, 0.9193, 0.7500], [0.9193, 0.0807, 0.2500], [0.0738, 0.5790, 0.2500], [0.4210, 0.9262, 0.2500], [0.4248, 0.5752, 0.7500], [0.5752, 0.4248, 0.2500], [0.5790, 0.0738, 0.7500], [0.9262, 0.4210, 0.7500]], "mass_density_g_cm3": 12.67, "crystal_system": "orthorhombic", "space_group": "Cmcm, No. 63"}

=====

Run b
{"formula": "ReTc3", "functional": "PBE", "state": "optimized geometry", "lattice_angstrom": [[4.3842, 2.5312, 0.8915], [-4.3842, 2.5312, 0.8915], [0.0000, -5.0624, 0.8915]], "species": ["Re", "Tc", "Tc", "Tc"], "frac_coords": [[0.0000, 0.0000, 0.0000], [0.0000, 0.5000, 0.5000], [0.5000, 0.0000, 0.5000], [0.5000, 0.5000, 0.0000]], "mass_density_g_cm3": 13.43, "crystal_system": "trigonal", "space_group": "R-3m, No. 166"}

=====

Which is most stable, and by how much? run b, by 78 meV per atom.